4
Lattice="-0.014 4.842 -7.684 0.981 2.261 -8.742 -1.931 2.717 -8.449" Properties=species:S:1:pos:R:3 comment="Re2TeW PBE-GGA relaxed" energy_ev_per_fu=-38.63 space_group="R3m, No. 160" pbc="T T T"
Re -0.964 9.809 -24.845
Re -0.245 2.492 -6.313
W -0.720 7.329 -18.565
Te -0.483 4.920 -12.464